Here is Li2Ag2Pb at its PBEsol-relaxed geometry from the Alexandria database. Energies are from SCAN.

a = 6.795 Å, b = 6.795 Å, c = 6.795 Å
α = 145.71°, β = 145.71°, γ = 49.28°
Atoms (fractional coordinates):
Li1 0.250 0.750 0.500
Li2 0.750 0.250 0.500
Ag1 0.109 0.109 0.000
Ag2 0.891 0.891 0.000
Pb1 0.500 0.500 0.000

Computed properties:
N(E_F): 1.4 states/eV/cell
SG: I4/mmm, No. 139
Total energy: -28.651 eV/atom
Relative energy among the computed polymorphs: 196.7 meV/atom